{"formula": "AlMoP2", "functional": "GGA-PBE", "state": "optimized geometry", "lattice": [[0.000, 3.069, 3.069], [3.069, 0.000, 3.069], [3.069, 3.069, 0.000]], "species": ["Al", "Mo", "P", "P"], "fractional_positions": [[0.000, 0.000, 0.000], [0.750, 0.750, 0.750], [0.250, 0.250, 0.250], [0.500, 0.500, 0.500]], "magnetic_moment_mub_per_cell": 0.00, "sg": "F-43m (216)", "delta_e_f_mev_per_atom": 430.3}